# 1
Density functional theory data (PBE) for crystalline CaBTe2 at its relaxed geometry.

abc: 7.744 7.744 7.744
angles: 36.96 36.96 36.96
Sites, in units of the cell vectors:
Ca (0.000, 0.000, 0.000)
B (0.500, 0.500, 0.500)
Te (0.404, 0.404, 0.404)
Te (0.596, 0.596, 0.596)

Space group   R-3m (166)
Total DFT energy (no corrections)   -3.750 eV/atom
Formation energy (no corrections)   -0.0093 eV/atom

***

# 2
Density functional theory data (PBE) for crystalline Ca2BeTcO6 at its relaxed geometry.

abc: 5.308 5.342 9.150
angles: 90.00 125.42 90.00
Sites, in units of the cell vectors:
Ca (0.243, 0.034, 0.248)
Ca (0.243, 0.466, 0.748)
Ca (0.757, 0.534, 0.252)
Ca (0.757, 0.966, 0.752)
Be (0.000, 0.000, 0.500)
Be (0.000, 0.500, 0.000)
Tc (0.500, 0.000, 0.000)
Tc (0.500, 0.500, 0.500)
O (0.181, 0.220, 0.968)
O (0.181, 0.280, 0.468)
O (0.248, 0.713, 0.968)
O (0.248, 0.787, 0.468)
O (0.305, 0.009, 0.744)
O (0.305, 0.491, 0.244)
O (0.695, 0.509, 0.756)
O (0.695, 0.991, 0.256)
O (0.752, 0.213, 0.532)
O (0.752, 0.287, 0.032)
O (0.819, 0.720, 0.532)
O (0.819, 0.780, 0.032)

Space group   P2_1/c (14)
Total DFT energy (no corrections)   -6.982 eV/atom
Formation energy (no corrections)   -2.1980 eV/atom

***

# 3
Density functional theory data (PBE) for crystalline SrBeW at its relaxed geometry.

abc: 6.136 6.136 6.136
angles: 152.50 145.96 44.30
Sites, in units of the cell vectors:
Sr (0.000, 0.000, 0.000)
Be (0.713, 0.713, 0.000)
W (0.284, 0.284, 0.000)

Space group   Imm2 (44)
DFT formation energy   818.7 meV/atom
Total DFT energy (no corrections)   -5.302 eV/atom
E above lowest polymorph   0.00 kJ per mole of atoms

***

# 4
Density functional theory data (PBE) for crystalline PmZrOsAu at its relaxed geometry.

abc: 4.911 4.911 4.911
angles: 60.00 60.00 60.00
Sites, in units of the cell vectors:
Pm (0.000, 0.000, 0.000)
Zr (0.500, 0.500, 0.500)
Os (0.250, 0.250, 0.250)
Au (0.750, 0.750, 0.750)

Space group   F-43m (216)
DFT formation energy   -276.1 meV/atom
Total DFT energy (no corrections)   -7.228 eV/atom

***

# 5
Density functional theory data (PBE) for crystalline Sr6AsP2S at its relaxed geometry.

abc: 7.398 8.086 13.254
angles: 90.00 122.21 90.00
Sites, in units of the cell vectors:
Sr (0.090, 0.072, 0.251)
Sr (0.090, 0.428, 0.751)
Sr (0.276, 0.690, 0.088)
Sr (0.276, 0.810, 0.588)
Sr (0.402, 0.189, 0.081)
Sr (0.402, 0.311, 0.581)
Sr (0.598, 0.689, 0.419)
Sr (0.598, 0.811, 0.919)
Sr (0.724, 0.190, 0.412)
Sr (0.724, 0.310, 0.912)
Sr (0.910, 0.572, 0.249)
Sr (0.910, 0.928, 0.749)
As (0.000, 0.000, 0.000)
As (0.000, 0.500, 0.500)
P (0.301, 0.093, 0.754)
P (0.301, 0.407, 0.254)
P (0.699, 0.593, 0.746)
P (0.699, 0.907, 0.246)
S (0.500, 0.000, 0.500)
S (0.500, 0.500, 0.000)

Space group   P2_1/c (14)
Total DFT energy (no corrections)   -4.114 eV/atom
Formation energy (no corrections)   -1.1450 eV/atom

***

# 6
Density functional theory data (PBE) for crystalline Pm4Tl3Zn at its relaxed geometry.

abc: 3.735 3.735 16.066
angles: 90.00 90.00 90.00
Sites, in units of the cell vectors:
Pm (0.000, 0.000, 0.109)
Pm (0.000, 0.000, 0.369)
Pm (0.000, 0.000, 0.631)
Pm (0.000, 0.000, 0.891)
Tl (0.500, 0.500, 0.238)
Tl (0.500, 0.500, 0.500)
Tl (0.500, 0.500, 0.762)
Zn (0.500, 0.500, 0.000)

Space group   P4/mmm (123)
DFT formation energy   -376.4 meV/atom
Total DFT energy (no corrections)   -3.798 eV/atom